Below is a geometry-optimized K2MnSnSe4 structure, with properties calculated at the PBE level.

Unit cell a=11.8041 b=11.7097 c=8.6144 alpha=90.00 beta=132.65 gamma=90.00
Last column: nearest neighbours and their distance in Å.
Space group C2/c (No. 15)
One atom of each set of equivalent atoms:
1 K 0.0000 0.0000 0.0000 [4 per cell]  6 Se 3.09-3.38
2 K 0.2500 0.2500 0.0000 [4 per cell]  6 Se 3.20-3.39
3 Mn 0.2500 0.2500 0.5000 [4 per cell]  4 Se 2.52-2.53
4 Sn 0.0000 0.5000 0.0000 [4 per cell]  6 Se 2.83-3.01
5 Se 0.0359 0.2615 0.4986 [8 per cell]  1 Mn 2.52
6 Se 0.2265 0.4656 0.4707 [8 per cell]  1 Mn 2.53

## Properties
ΔE_f (raw) in eV/atom: -0.69